Entry 1:
YGaGePt3 after structural relaxation. Source: the Alexandria database, functional PBE.

abc: 6.8555 11.9467 5.5960
angles: 90.00 90.00 90.00
Last column: nearest neighbours and their distance in Å.
Space group Cmcm (No. 63)
Symmetry-distinct sites (fractional):
1 Y 0.0000 0.1979 0.2500 [4 per cell]  2 Ge 2.91, 1 Ga 2.93, 6 Pt 3.10-3.23
2 Ga 0.0000 0.4431 0.2500 [4 per cell]  5 Pt 2.53-2.67
3 Ge 0.0000 0.1321 0.7500 [4 per cell]  5 Pt 2.41-2.55
4 Pt 0.0000 0.3337 0.7500 [4 per cell]  1 Ge 2.41, 1 Ga 2.67
5 Pt 0.2093 0.0000 0.0000 [8 per cell]  2 Ga 2.53, 2 Ge 2.55, 2 Pt 2.80

- Size of the total moment: 0.00 Bohr magnetons per cell
- Fermi-level density of states: 0.44 states/eV/atom
- ΔH_f (0 K): -0.703 eV/atom



Entry 2:
PuGa4Ge after structural relaxation. Source: the Alexandria database, functional PBE.

abc: 5.1382 5.1382 20.2175
angles: 90.00 90.00 90.00
Last column: nearest neighbours and their distance in Å.
Space group I4_1/amd (No. 141, origin choice 2)
Symmetry-distinct sites (fractional):
1 Pu 0.0000 0.2500 0.3750 [4 per cell]  4 Ga 3.17
2 Ga 0.0000 0.0056 0.2311 [16 per cell]  4 Ga 2.51-2.68, 1 Ge 2.52
3 Ge 0.0000 0.2500 0.8750 [4 per cell]  4 Ga 2.52

- Size of the total moment: 22.40 Bohr magnetons per cell
- Fermi-level density of states: 2.37 states/eV/atom
- ΔH_f (0 K): 0.015 eV/atom



Entry 3:
Pu5GaGe3 after structural relaxation. Source: the Alexandria database, functional PBE.

abc: 8.8059 8.8059 6.1603
angles: 90.00 90.00 120.00
Last column: nearest neighbours and their distance in Å.
Space group P6_3/mcm (No. 193)
Symmetry-distinct sites (fractional):
1 Pu 0.0000 0.3011 0.2500 [6 per cell]  5 Ge 2.94-3.12, 2 Ga 3.07
2 Pu 0.3333 0.6667 0.0000 [4 per cell]  2 Pu 3.08, 6 Ge 3.22
3 Ga 0.0000 0.0000 0.0000 [2 per cell]  6 Pu 3.07, 2 Ga 3.08
4 Ge 0.0000 0.3587 0.7500 [6 per cell]  9 Pu 2.94-3.22

- Size of the total moment: 56.95 Bohr magnetons per cell
- Fermi-level density of states: 3.53 states/eV/atom
- ΔH_f (0 K): -0.407 eV/atom



Entry 4:
PuGaGe4 after structural relaxation. Source: the Alexandria database, functional PBE.

abc: 7.8218 7.8218 7.8218
angles: 90.00 90.00 90.00
Last column: nearest neighbours and their distance in Å.
Space group F-43m (No. 216)
Symmetry-distinct sites (fractional):
1 Pu 0.0000 0.0000 0.0000 [4 per cell]  12 Ge 3.24, 4 Ga 3.39
2 Ga 0.2500 0.2500 0.7500 [4 per cell]  12 Ge 3.24, 4 Pu 3.39
3 Ge 0.1247 0.1247 0.3753 [16 per cell]  6 Ge 2.76-2.77

- Size of the total moment: 22.36 Bohr magnetons per cell
- Fermi-level density of states: 1.70 states/eV/atom
- ΔH_f (0 K): -0.069 eV/atom



Entry 5:
PuGaGe2 after structural relaxation. Source: the Alexandria database, functional PBE.

abc: 3.5827 3.5827 6.2476
angles: 90.00 90.00 90.00
Last column: nearest neighbours and their distance in Å.
Space group P4/mmm (No. 123)
Symmetry-distinct sites (fractional):
1 Pu 0.0000 0.0000 0.0000 [1 per cell]  2 Ga 3.12, 8 Ge 3.13
2 Ga 0.0000 0.0000 0.5000 [1 per cell]  8 Ge 2.84, 2 Pu 3.12
3 Ge 0.5000 0.5000 0.2929 [2 per cell]  1 Ge 2.59, 4 Ga 2.84

- Size of the total moment: 5.67 Bohr magnetons per cell
- Fermi-level density of states: 1.58 states/eV/atom
- ΔH_f (0 K): -0.209 eV/atom



Entry 6:
Pu4GaGe after structural relaxation. Source: the Alexandria database, functional PBE.

abc: 5.1079 5.1086 5.1173
angles: 114.80 93.88 91.38
Last column: nearest neighbours and their distance in Å.
Space group P-1 (No. 2)
Symmetry-distinct sites (fractional):
1 Pu 0.0360 0.1402 0.3570 [2 per cell]  2 Pu 2.48
2 Pu 0.4613 0.3563 0.6402 [2 per cell]  2 Pu 2.48-2.49
3 Ga 0.0000 0.5000 0.0000 [1 per cell]  10 Pu 3.00-3.10
4 Ge 0.5000 0.0000 0.0000 [1 per cell]  10 Pu 3.01-3.09

- Size of the total moment: 0.00 Bohr magnetons per cell
- Fermi-level density of states: 3.27 states/eV/atom
- ΔH_f (0 K): -0.307 eV/atom